1.
The following is a DFT calculation (PBE) of Ba2ZrO4 after structural relaxation.

Cell lengths 7.385, 7.385, 7.385 Å; angles 146.86, 146.86, 47.57 degrees
Element x y z (fractional)
Ba1 0.353 0.353 0.000
Ba2 0.647 0.647 0.000
O1 0.158 0.158 0.000
O2 0.842 0.842 0.000
O3 0.500 0.000 0.500
O4 0.000 0.500 0.500
Zr1 0.000 0.000 0.000

total magnetic moment = 0.000 μB per atom
final energy = -7.6307 eV per atom



2.
The following is a DFT calculation (PBE) of Na2OsO4 after structural relaxation.

Cell lengths 9.373, 9.373, 3.174 Å; angles 90.00, 90.00, 120.00 degrees
Element x y z (fractional)
Na1 0.000 0.000 0.000
Na2 0.699 0.000 0.500
Na3 0.301 0.301 0.500
Na4 0.667 0.333 0.500
Na5 0.333 0.667 0.500
Na6 0.000 0.699 0.500
O1 0.778 0.214 0.000
O2 0.436 0.222 0.000
O3 0.222 0.436 0.000
O4 0.786 0.564 0.000
O5 0.214 0.778 0.000
O6 0.564 0.786 0.000
O7 0.460 0.000 0.500
O8 0.191 0.000 0.500
O9 0.000 0.191 0.500
O10 0.000 0.460 0.500
O11 0.540 0.540 0.500
O12 0.809 0.809 0.500
Os1 0.330 0.000 0.000
Os2 0.000 0.330 0.000
Os3 0.670 0.670 0.000

total magnetic moment = 0.000 μB per atom
final energy = -6.1488 eV per atom



3.
The following is a DFT calculation (PBE) of LiZn2Ni2 after structural relaxation.

Cell lengths 7.069, 7.069, 2.622 Å; angles 90.00, 90.00, 90.00 degrees
Element x y z (fractional)
Li1 0.000 0.000 0.000
Li2 0.500 0.500 0.000
Ni1 0.376 0.124 0.000
Ni2 0.876 0.376 0.000
Ni3 0.124 0.624 0.000
Ni4 0.624 0.876 0.000
Zn1 0.672 0.172 0.500
Zn2 0.172 0.328 0.500
Zn3 0.828 0.672 0.500
Zn4 0.328 0.828 0.500

total magnetic moment = 0.002 μB per atom
final energy = -3.3295 eV per atom